# 1
A geometry-optimized MnTc2Te structure, computed with GGA-PBE.

Calculated values
As for the space-group type: P4/mmm (123). The energy comes out at -0.593 Ry per atom. The calculation puts the formation energy without anion corrections at 4.37 kcal/mol of atoms.

a b c (Å): 3.185 4.415 4.415
angles (deg): 90.00 90.00 90.00
Last column: magnetic moment on the atom in μB.
Sites, in units of the cell vectors:
Te  0.500  0.500  0.000  0.01
Mn  0.500  0.000  0.500  3.12
Tc  0.000  0.500  0.500  -0.21
Tc  0.000  0.000  0.000  -0.21

=====

# 2
A geometry-optimized Pr2HoScSe4 structure, computed with GGA-PBE.

Calculated values
As for the space-group type: P2/m (10). The energy comes out at -0.444 Ry per atom. The calculation puts the formation energy without anion corrections at -40.23 kcal/mol of atoms.

a b c (Å): 4.039 7.028 7.343
angles (deg): 108.48 90.00 90.00
Sites, in units of the cell vectors:
Se  0.500  0.234  0.222
Se  0.000  0.252  0.774
Sc  0.000  0.000  0.000
Ho  0.500  0.500  0.000
Se  0.500  0.766  0.778
Se  0.000  0.748  0.226
Pr  0.500  0.000  0.500
Pr  0.000  0.500  0.500

=====

# 3
A geometry-optimized Sm3Ag structure, computed with GGA-PBE.

Calculated values
As for the space-group type: Pm-3m (221). Its energy above the most stable polymorph in this dataset is 109 meV/atom. As for the formation energy: 0.015 eV/atom. The energy comes out at -0.311 Ry per atom.

a b c (Å): 4.872 4.872 4.872
angles (deg): 90.00 90.00 90.00
Sites, in units of the cell vectors:
Sm  0.000  0.500  0.500
Sm  0.500  0.500  0.000
Ag  0.000  0.000  0.000
Sm  0.500  0.000  0.500

=====

# 4
A geometry-optimized TlGaCu2Ag structure, computed with GGA-PBE.

Calculated values
As for the space-group type: P4/mmm (123). As for the formation energy: 0.901 eV/atom. The energy comes out at -0.175 Ry per atom.

a b c (Å): 4.941 5.202 4.941
angles (deg): 90.00 90.00 90.00
Sites, in units of the cell vectors:
Ag  0.500  0.500  0.500
Ga  0.000  0.500  0.000
Cu  0.500  0.000  0.000
Tl  0.000  0.000  0.000
Cu  0.000  0.000  0.500

=====

# 5
A geometry-optimized KPW2 structure, computed with GGA-PBE.

Calculated values
As for the space-group type: Pmmm (47). Its energy above the most stable polymorph in this dataset is 339 meV/atom. As for the formation energy: 0.764 eV/atom. The energy comes out at -0.539 Ry per atom.

a b c (Å): 3.129 2.989 8.827
angles (deg): 90.00 90.00 90.00
Sites, in units of the cell vectors:
W  0.000  0.000  0.602
W  0.000  0.000  0.898
K  0.500  0.500  0.250
P  0.500  0.500  0.750

=====

# 6
A geometry-optimized Ac4Tb3PmSe8 structure, computed with GGA-PBE.

Calculated values
As for the space-group type: R-3m (166). The energy comes out at -0.423 Ry per atom. The calculation puts the formation energy without anion corrections at -41.88 kcal/mol of atoms.

a b c (Å): 8.439 8.739 8.440
angles (deg): 118.89 119.99 90.00
Sites, in units of the cell vectors:
Se  0.244  0.724  0.487
Se  0.740  0.721  0.481
Se  0.260  0.279  0.519
Tb  0.500  0.500  0.000
Se  0.756  0.275  0.019
Pm  0.000  0.500  0.000
Se  0.737  0.725  0.981
Se  0.244  0.725  0.981
Tb  0.000  0.500  0.500
Ac  0.500  0.000  0.000
Se  0.263  0.275  0.019
Tb  0.500  0.500  0.500
Ac  0.000  0.000  0.500
Se  0.756  0.276  0.513
Ac  0.500  0.000  0.500
Ac  0.000  0.000  0.000

=====

# 7
A geometry-optimized Co2MoHRu structure, computed with GGA-PBE.

Calculated values
As for the space-group type: P4/mmm (123). Its energy above the most stable polymorph in this dataset is 35 meV/atom. The energy comes out at -0.550 Ry per atom.

a b c (Å): 3.665 3.665 3.907
angles (deg): 90.00 90.00 90.00
Last column: magnetic moment on the atom in μB.
Sites, in units of the cell vectors:
Mo  0.000  0.000  0.500  -0.01
Co  0.000  0.500  0.000  0.29
H  0.000  0.000  0.000  0.00
Co  0.500  0.000  0.000  0.29
Ru  0.500  0.500  0.500  0.02

=====

# 8
A geometry-optimized Cs3Cd2Ag3 structure, computed with GGA-PBE.

Calculated values
As for the space-group type: P2_1/m (11). As for the formation energy: 0.007 eV/atom. The energy comes out at -0.118 Ry per atom.

a b c (Å): 7.289 8.748 13.814
angles (deg): 90.00 90.00 127.58
Sites, in units of the cell vectors:
Ag  0.004  0.152  0.750
Cs  0.402  0.699  0.580
Cs  0.359  0.679  0.250
Cs  0.598  0.301  0.080
Cs  0.402  0.699  0.920
Cs  0.641  0.321  0.750
Ag  0.996  0.848  0.250
Cd  0.974  0.134  0.147
Cd  0.026  0.866  0.647
Ag  0.018  0.160  0.551
Cd  0.974  0.134  0.353
Cd  0.026  0.866  0.853
Ag  0.982  0.840  0.449
Ag  0.018  0.160  0.949
Cs  0.598  0.301  0.420
Ag  0.982  0.840  0.051

=====

# 9
A geometry-optimized Fe2HgPt structure, computed with GGA-PBE.

Calculated values
As for the space-group type: P2/m (10). As for the formation energy: 0.126 eV/atom. The energy comes out at -0.418 Ry per atom.

a b c (Å): 3.858 2.789 6.372
angles (deg): 64.25 90.00 90.00
Last column: magnetic moment on the atom in μB.
Sites, in units of the cell vectors:
Hg  0.500  0.250  0.250  -0.06
Pt  0.500  0.750  0.750  0.32
Fe  0.000  0.470  0.530  2.87
Fe  0.000  0.030  0.970  2.87